DFT (PBE-GGA) results for a relaxed structure of Pu2Tl2Sn.

Lattice parameters (Å, degrees): 3.387 24.188 3.326 90.00 90.00 90.00
Space group Cmmm (No. 65)
Asymmetric unit:
1 Pu 0.000 0.094 0.000 [4 per cell]
2 Tl 0.000 0.305 0.500 [4 per cell]
3 Sn 0.000 0.500 0.500 [2 per cell]

Volume in Å³ per cell: 272.4
Formation energy in eV/atom: -0.12
N(E_F) in states/eV/atom: 2.593



DFT (PBE-GGA) results for a relaxed structure of YInIN2.

Lattice parameters (Å, degrees): 4.708 4.708 6.161 90.00 90.00 90.00
Space group P4/mmm (No. 123)
Asymmetric unit:
1 Y 0.000 0.000 0.000 [1 per cell]
2 In 0.500 0.500 0.500 [1 per cell]
3 I 0.000 0.000 0.500 [1 per cell]
4 N 0.000 0.500 0.000 [2 per cell]

Volume in Å³ per cell: 136.6
Energy relative to the elements, uncorrected in kcal/mol of atoms: 11.53
N(E_F) in states/eV/atom: 0.638
Distance to the lowest polymorph of the same formula in meV/atom: 0



DFT (PBE-GGA) results for a relaxed structure of BaCr2Pb.

Lattice parameters (Å, degrees): 7.712 7.712 7.712 90.00 90.00 90.00
Space group F-43m (No. 216)
Asymmetric unit:
1 Ba 0.000 0.000 0.000 [4 per cell]
2 Cr 0.000 0.000 0.500 [4 per cell]
3 Cr 0.250 0.250 0.250 [4 per cell]
4 Pb 0.250 0.250 0.750 [4 per cell]

Volume in Å³ per cell: 458.7
Formation energy in eV/atom: 0.71
N(E_F) in states/eV/atom: 0.613



DFT (PBE-GGA) results for a relaxed structure of CeSi2Ir.

Lattice parameters (Å, degrees): 4.194 16.848 4.188 90.00 90.00 90.00
Space group Cmcm (No. 63)
Asymmetric unit:
1 Ce 0.000 0.106 0.250 [4 per cell]
2 Si 0.000 0.250 0.750 [4 per cell]
3 Si 0.000 0.464 0.250 [4 per cell]
4 Ir 0.000 0.323 0.250 [4 per cell]

Volume in Å³ per cell: 295.9
Energy relative to the elements, uncorrected in kcal/mol of atoms: -21.82
N(E_F) in states/eV/atom: 0.919



DFT (PBE-GGA) results for a relaxed structure of Cu5SiAu4.

Lattice parameters (Å, degrees): 13.489 2.775 9.566 90.00 122.23 90.00
Space group C2/m (No. 12)
Asymmetric unit:
1 Cu 0.000 0.000 0.000 [2 per cell]
2 Cu 0.175 0.500 0.637 [4 per cell]
3 Cu 0.189 0.500 0.092 [4 per cell]
4 Si 0.000 0.000 0.500 [2 per cell]
5 Au 0.088 0.000 0.810 [4 per cell]
6 Au 0.140 0.500 0.327 [4 per cell]

Volume in Å³ per cell: 302.9
Energy relative to the elements, uncorrected in kcal/mol of atoms: 1.13
N(E_F) in states/eV/atom: 0.393



DFT (PBE-GGA) results for a relaxed structure of SmEuAlPb.

Lattice parameters (Å, degrees): 7.691 7.691 7.691 90.00 90.00 90.00
Space group F-43m (No. 216)
Asymmetric unit:
1 Sm 0.000 0.000 0.000 [4 per cell]
2 Eu 0.000 0.000 0.500 [4 per cell]
3 Al 0.250 0.250 0.750 [4 per cell]
4 Pb 0.250 0.250 0.250 [4 per cell]

Volume in Å³ per cell: 455.0
Formation energy in eV/atom: -0.34
N(E_F) in states/eV/atom: 0.472



DFT (PBE-GGA) results for a relaxed structure of Rb2NaRe.

Lattice parameters (Å, degrees): 5.408 5.408 25.548 90.00 90.00 90.00
Space group I-42d (No. 122)
Asymmetric unit:
1 Rb 0.236 0.250 0.125 [8 per cell]
2 Na 0.000 0.000 0.500 [4 per cell]
3 Re 0.000 0.000 0.000 [4 per cell]

Volume in Å³ per cell: 747.1
Formation energy in eV/atom: 1.68
N(E_F) in states/eV/atom: 1.432
Distance to the lowest polymorph of the same formula in meV/atom: 153



DFT (PBE-GGA) results for a relaxed structure of LiCaSe2.

Lattice parameters (Å, degrees): 3.723 4.835 4.853 90.00 90.00 90.00
Space group Pmmm (No. 47)
Asymmetric unit:
1 Li 0.000 0.000 0.000 [1 per cell]
2 Ca 0.000 0.500 0.500 [1 per cell]
3 Se 0.500 0.000 0.500 [1 per cell]
4 Se 0.500 0.500 0.000 [1 per cell]

Volume in Å³ per cell: 87.4
Energy relative to the elements, uncorrected in kcal/mol of atoms: -27.20
N(E_F) in states/eV/atom: 0.470



DFT (PBE-GGA) results for a relaxed structure of ReSi3Tc.

Lattice parameters (Å, degrees): 4.644 4.644 4.644 90.00 90.00 90.00
Space group Pm-3m (No. 221)
Asymmetric unit:
1 Re 0.000 0.000 0.000 [1 per cell]
2 Si 0.000 0.000 0.500 [3 per cell]
3 Tc 0.500 0.500 0.500 [1 per cell]

Volume in Å³ per cell: 100.2
Energy relative to the elements, uncorrected in kcal/mol of atoms: 25.47
N(E_F) in states/eV/atom: 0.670
Distance to the lowest polymorph of the same formula in meV/atom: 0



DFT (PBE-GGA) results for a relaxed structure of DyPuGaNi.

Lattice parameters (Å, degrees): 6.973 6.973 6.973 90.00 90.00 90.00
Space group F-43m (No. 216)
Asymmetric unit:
1 Dy 0.000 0.000 0.000 [4 per cell]
2 Pu 0.000 0.000 0.500 [4 per cell]
3 Ga 0.250 0.250 0.250 [4 per cell]
4 Ni 0.250 0.250 0.750 [4 per cell]

Volume in Å³ per cell: 339.1
Formation energy in eV/atom: -0.24
N(E_F) in states/eV/atom: 2.447



DFT (PBE-GGA) results for a relaxed structure of Sr2TlNiSb.

Lattice parameters (Å, degrees): 5.836 5.836 4.722 90.00 90.00 90.00
Space group P4/mmm (No. 123)
Asymmetric unit:
1 Sr 0.000 0.500 0.000 [2 per cell]
2 Tl 0.000 0.000 0.500 [1 per cell]
3 Ni 0.500 0.500 0.000 [1 per cell]
4 Sb 0.500 0.500 0.500 [1 per cell]

Volume in Å³ per cell: 160.8
Energy relative to the elements, uncorrected in kcal/mol of atoms: -8.48
N(E_F) in states/eV/atom: 0.507



DFT (PBE-GGA) results for a relaxed structure of TlAs3Au.

Lattice parameters (Å, degrees): 5.168 5.168 5.168 90.00 90.00 90.00
Space group Pm-3m (No. 221)
Asymmetric unit:
1 Tl 0.000 0.000 0.000 [1 per cell]
2 As 0.000 0.500 0.500 [3 per cell]
3 Au 0.500 0.500 0.500 [1 per cell]

Volume in Å³ per cell: 138.0
Formation energy in eV/atom: 0.67
N(E_F) in states/eV/atom: 0.999
Distance to the lowest polymorph of the same formula in meV/atom: 0



DFT (PBE-GGA) results for a relaxed structure of K3Fe.

Lattice parameters (Å, degrees): 4.3052 4.3052 12.9216 90.00 90.00 120.00
Space group P-6m2 (No. 187)
Asymmetric unit:
1 K 0.0000 0.0000 0.0000 [1 per cell]
2 K 0.6667 0.3333 0.3120 [2 per cell]
3 Fe 0.0000 0.0000 0.5000 [1 per cell]

Volume in Å³ per cell: 207.4
Formation energy in eV/atom: 0.83
N(E_F) in states/eV/atom: 1.364
Distance to the lowest polymorph of the same formula in meV/atom: 73



DFT (PBE-GGA) results for a relaxed structure of Ba2ZrTl3S6.

Lattice parameters (Å, degrees): 7.571 13.270 7.478 90.00 110.65 90.00
Space group C2/m (No. 12)
Asymmetric unit:
1 Ba 0.000 0.167 0.000 [4 per cell]
2 Zr 0.000 0.500 0.000 [2 per cell]
3 Tl 0.000 0.000 0.500 [2 per cell]
4 Tl 0.000 0.343 0.500 [4 per cell]
5 S 0.210 0.500 0.780 [4 per cell]
6 S 0.215 0.362 0.215 [8 per cell]

Volume in Å³ per cell: 703.0
Energy relative to the elements, uncorrected in kcal/mol of atoms: -27.28
N(E_F) in states/eV/atom: 0.386



DFT (PBE-GGA) results for a relaxed structure of SrP3O.

Lattice parameters (Å, degrees): 5.572 5.572 5.572 90.00 90.00 90.00
Space group Pm-3m (No. 221)
Asymmetric unit:
1 Sr 0.000 0.000 0.000 [1 per cell]
2 P 0.000 0.000 0.500 [3 per cell]
3 O 0.500 0.500 0.500 [1 per cell]

Volume in Å³ per cell: 173.0
Energy relative to the elements, uncorrected in kcal/mol of atoms: 46.93
N(E_F) in states/eV/atom: 3.607
Distance to the lowest polymorph of the same formula in meV/atom: 2033



DFT (PBE-GGA) results for a relaxed structure of TlIr.

Lattice parameters (Å, degrees): 5.507 5.507 5.507 90.00 90.00 90.00
Space group Fm-3m (No. 225)
Asymmetric unit:
1 Tl 0.000 0.000 0.000 [4 per cell]
2 Ir 0.000 0.000 0.500 [4 per cell]

Volume in Å³ per cell: 167.0
Formation energy in eV/atom: 0.88
N(E_F) in states/eV/atom: 0.595



DFT (PBE-GGA) results for a relaxed structure of Mn2SiW.

Lattice parameters (Å, degrees): 2.7138 2.7138 24.0494 90.00 90.00 120.00
Space group R-3m (No. 166, hexagonal axes)
Asymmetric unit:
1 Mn 0.0000 0.0000 0.2449 [6 per cell]
2 Si 0.0000 0.0000 0.5000 [3 per cell]
3 W 0.0000 0.0000 0.0000 [3 per cell]

Volume in Å³ per cell: 153.4
Energy relative to the elements, uncorrected in kcal/mol of atoms: 2.80
N(E_F) in states/eV/atom: 0.707



DFT (PBE-GGA) results for a relaxed structure of Pr2EuCd.

Lattice parameters (Å, degrees): 8.026 8.026 8.026 90.00 90.00 90.00
Space group Fm-3m (No. 225)
Asymmetric unit:
1 Pr 0.250 0.250 0.250 [8 per cell]
2 Eu 0.000 0.000 0.000 [4 per cell]
3 Cd 0.000 0.000 0.500 [4 per cell]

Volume in Å³ per cell: 517.1
Formation energy in eV/atom: -0.05
N(E_F) in states/eV/atom: 0.996
Distance to the lowest polymorph of the same formula in meV/atom: 66



DFT (PBE-GGA) results for a relaxed structure of Dy3ZrTl4Te8.

Lattice parameters (Å, degrees): 8.7425 8.7425 24.6938 90.00 90.00 120.00
Space group R-3m (No. 166, hexagonal axes)
Asymmetric unit:
1 Dy 0.0000 0.5000 0.0000 [9 per cell]
2 Zr 0.0000 0.0000 0.0000 [3 per cell]
3 Tl 0.0000 0.0000 0.5000 [3 per cell]
4 Tl 0.0000 0.5000 0.5000 [9 per cell]
5 Te 0.0000 0.0000 0.2614 [6 per cell]
6 Te 0.0110 0.5055 0.7371 [18 per cell]

Volume in Å³ per cell: 1634.5
Energy relative to the elements, uncorrected in kcal/mol of atoms: -21.48
N(E_F) in states/eV/atom: 0.278



DFT (PBE-GGA) results for a relaxed structure of KTlSiAs2.

Lattice parameters (Å, degrees): 6.110 14.053 7.964 90.00 90.00 90.00
Space group Cmme (No. 67)
Asymmetric unit:
1 K 0.000 0.250 0.179 [4 per cell]
2 Tl 0.000 0.000 0.500 [4 per cell]
3 Si 0.250 0.000 0.000 [4 per cell]
4 As 0.000 0.098 0.845 [8 per cell]

Volume in Å³ per cell: 683.7
Energy relative to the elements, uncorrected in kcal/mol of atoms: -2.90
N(E_F) in states/eV/atom: 0.427